## ZnAg2Au (GGA-PBE)

Data for crystalline ZnAg2Au at its relaxed geometry.

The structure in extended XYZ format:
```
4
Lattice="2.9581 0.0000 0.0000 0.0000 3.8924 0.0000 0.0000 0.0000 5.9399" Properties=species:S:1:pos:R:3 pbc="T T T"
Zn 0.0000 0.0000 0.0000
Ag 0.0000 0.0000 2.9746
Ag 1.4791 1.9462 1.4713
Au 1.4791 1.9462 4.5676
```

Values from the calculation:
* V: 17.1 Å³ per atom
* density of states at the Fermi level: 0.315 states/eV per atom
* energy relative to the elements: -74 meV per atom
* calculated density: 11.61 g/cm³



## Dy5Ho4Th (GGA-PBE)

Data for crystalline Dy5Ho4Th at its relaxed geometry.

The structure in extended XYZ format:
```
10
Lattice="-5.0651 5.0651 3.1734 5.0651 -5.0651 3.1734 5.0651 5.0651 -3.1734" Properties=species:S:1:pos:R:3 pbc="T T T"
Dy 0.0000 0.0000 0.0000
Dy 3.6058 2.7020 1.5201
Dy 2.3631 -1.4593 4.6935
Dy 2.7020 6.5244 1.5201
Dy 1.4593 2.3631 4.6935
Ho 3.5044 -0.5045 1.5307
Ho 6.6258 0.5045 1.5307
Ho 0.5045 3.5044 1.5307
Ho -0.5045 6.6258 1.5307
Th 0.0000 0.0000 2.9510
```

Values from the calculation:
* V: 32.6 Å³ per atom
* density of states at the Fermi level: 1.425 states/eV per atom
* energy relative to the elements: 329 meV per atom
* calculated density: 8.69 g/cm³



## LaPa3P4N12 (GGA-PBE)

Data for crystalline LaPa3P4N12 at its relaxed geometry.

The structure in extended XYZ format:
```
20
Lattice="5.4529 3.1482 2.9315 -5.4529 3.1482 2.9315 0.0000 -6.2964 2.9315" Properties=species:S:1:pos:R:3 pbc="T T T"
La 0.0000 0.0000 0.0000
Pa -2.9569 -1.1749 2.9315
Pa -2.9569 1.1749 5.8630
Pa 0.4610 3.1482 2.9315
P -2.4910 -4.3145 4.3973
P 0.0000 0.0000 4.3973
P -2.4910 4.3145 4.3973
P 4.9820 0.0000 4.3973
N -3.3276 -2.9727 4.2983
N -4.3248 0.0000 4.3973
N -0.9107 -4.3681 4.4962
N -1.6013 0.0000 4.3973
N -3.3276 2.9727 4.4962
N 2.1624 -3.7454 4.3973
N 0.8007 -1.3868 4.3973
N -0.9107 4.3681 4.2983
N 0.8007 1.3868 4.3973
N 4.2383 -1.3954 4.2983
N 2.1624 3.7454 4.3973
N 4.2382 1.3954 4.4962
```

Values from the calculation:
* V: 15.1 Å³ per atom
* density of states at the Fermi level: 0.325 states/eV per atom
* E_form (uncorrected): -85.14 kJ/mol of atoms
* calculated density: 6.18 g/cm³



## ScBe2Re (GGA-PBE)

Data for crystalline ScBe2Re at its relaxed geometry.

The structure in extended XYZ format:
```
4
Lattice="4.6329 -1.3492 0.0000 4.6329 1.3492 0.0000 -1.6009 0.0000 4.1749" Properties=species:S:1:pos:R:3 pbc="T T T"
Sc 0.0000 0.0000 0.0000
Be 3.5253 0.0000 2.0513
Be 6.7847 0.0000 0.9736
Re 0.9319 0.0000 2.7942
```

Values from the calculation:
* V: 13.0 Å³ per atom
* density of states at the Fermi level: 0.535 states/eV per atom
* energy relative to the elements: 88 meV per atom
* calculated density: 7.93 g/cm³



## CeScBe2 (GGA-PBE)

Data for crystalline CeScBe2 at its relaxed geometry.

The structure in extended XYZ format:
```
4
Lattice="3.2212 0.0000 0.0000 0.0000 3.2212 0.0000 0.0000 0.0000 6.7984" Properties=species:S:1:pos:R:3 pbc="T T T"
Ce 0.0000 0.0000 0.0000
Sc 0.0000 0.0000 3.3992
Be 1.6106 1.6106 1.9805
Be 1.6106 1.6106 4.8179
```

Values from the calculation:
* V: 17.6 Å³ per atom
* density of states at the Fermi level: 1.373 states/eV per atom
* energy relative to the elements: 82 meV per atom
* calculated density: 4.78 g/cm³



## La2ThGe3Rh4 (GGA-PBE)

Data for crystalline La2ThGe3Rh4 at its relaxed geometry.

The structure in extended XYZ format:
```
10
Lattice="4.3322 0.0000 0.0000 0.0000 4.3322 0.0000 0.0000 0.0000 11.0816" Properties=species:S:1:pos:R:3 pbc="T T T"
La 0.0000 2.1661 2.4743
La 2.1661 0.0000 8.6072
Th 0.0000 0.0000 5.5408
Ge 0.0000 2.1661 9.7544
Ge 2.1661 0.0000 1.3271
Ge 2.1661 2.1661 5.5408
Rh 0.0000 0.0000 0.0000
Rh 0.0000 2.1661 7.2614
Rh 2.1661 0.0000 3.8202
Rh 2.1661 2.1661 0.0000
```

Values from the calculation:
* V: 20.8 Å³ per atom
* density of states at the Fermi level: 0.511 states/eV per atom
* energy relative to the elements: -887 meV per atom
* calculated density: 9.10 g/cm³



## AcEuCuRh (GGA-PBE)

Data for crystalline AcEuCuRh at its relaxed geometry.

The structure in extended XYZ format:
```
4
Lattice="0.0000 3.6613 3.6613 3.6613 0.0000 3.6613 3.6613 3.6613 0.0000" Properties=species:S:1:pos:R:3 pbc="T T T"
Ac 0.0000 0.0000 0.0000
Eu 3.6613 3.6613 3.6613
Cu 1.8306 1.8306 1.8306
Rh 5.4919 5.4919 5.4919
```

Values from the calculation:
* V: 24.5 Å³ per atom
* density of states at the Fermi level: 1.832 states/eV per atom
* energy relative to the elements: -317 meV per atom
* calculated density: 9.23 g/cm³



## ReGe3O (GGA-PBE)

Data for crystalline ReGe3O at its relaxed geometry.

The structure in extended XYZ format:
```
5
Lattice="4.7811 0.0000 0.0000 0.0000 4.7811 0.0000 0.0000 0.0000 4.7811" Properties=species:S:1:pos:R:3 pbc="T T T"
Re 0.0000 0.0000 0.0000
Ge 0.0000 0.0000 2.3906
Ge 0.0000 2.3906 0.0000
Ge 2.3906 0.0000 0.0000
O 2.3906 2.3906 2.3906
```

Values from the calculation:
* V: 21.9 Å³ per atom
* density of states at the Fermi level: 1.970 states/eV per atom
* E_form (uncorrected): 44.97 kJ/mol of atoms
* calculated density: 6.38 g/cm³



## LiPd2SeO (GGA-PBE)

Data for crystalline LiPd2SeO at its relaxed geometry.

The structure in extended XYZ format:
```
5
Lattice="4.6731 0.0000 0.0000 0.0000 4.6731 0.0000 0.0000 0.0000 4.6802" Properties=species:S:1:pos:R:3 pbc="T T T"
Li 0.0000 0.0000 0.0000
Pd 0.0000 2.3365 2.3401
Pd 2.3365 0.0000 2.3401
Se 0.0000 0.0000 2.3401
O 2.3365 2.3365 0.0000
```

Values from the calculation:
* V: 20.4 Å³ per atom
* density of states at the Fermi level: 1.386 states/eV per atom
* E_form (uncorrected): 35.22 kJ/mol of atoms
* calculated density: 5.11 g/cm³



## Re2As (GGA-PBE)

Data for crystalline Re2As at its relaxed geometry.

The structure in extended XYZ format:
```
12
Lattice="5.9356 0.0000 0.0000 0.0000 5.9356 0.0000 0.0000 0.0000 5.9356" Properties=species:S:1:pos:R:3 pbc="T T T"
Re 0.6843 0.6843 0.6843
Re 0.6843 2.2835 3.6521
Re 2.2835 3.6521 0.6843
Re 2.2835 5.2514 3.6521
Re 3.6521 0.6843 2.2835
Re 3.6521 2.2835 5.2514
Re 5.2514 3.6521 2.2835
Re 5.2514 5.2514 5.2514
As 0.0000 0.0000 2.9678
As 0.0000 2.9678 0.0000
As 2.9678 0.0000 0.0000
As 2.9678 2.9678 2.9678
```

Values from the calculation:
* V: 17.4 Å³ per atom
* density of states at the Fermi level: 0.967 states/eV per atom
* energy relative to the elements: 1013 meV per atom
* calculated density: 14.21 g/cm³



## Tb2Sc2Sn2C (GGA-PBE)

Data for crystalline Tb2Sc2Sn2C at its relaxed geometry.

The structure in extended XYZ format:
```
7
Lattice="-2.2724 2.2724 7.9143 2.2724 -2.2724 7.9143 2.2724 2.2724 -7.9143" Properties=species:S:1:pos:R:3 pbc="T T T"
Tb 0.0000 0.0000 2.5084
Tb 0.0000 0.0000 13.3202
Sc 2.2724 0.0000 0.0000
Sc 0.0000 2.2724 0.0000
Sn 0.0000 0.0000 5.7724
Sn 0.0000 0.0000 10.0562
C 0.0000 0.0000 0.0000
```

Values from the calculation:
* V: 23.4 Å³ per atom
* density of states at the Fermi level: 0.060 states/eV per atom
* energy relative to the elements: -817 meV per atom
* calculated density: 6.68 g/cm³



## Si2BrCl (GGA-PBE)

Data for crystalline Si2BrCl at its relaxed geometry.

The structure in extended XYZ format:
```
4
Lattice="3.5451 0.0000 0.0000 0.0000 3.5451 0.0000 0.0000 0.0000 8.3526" Properties=species:S:1:pos:R:3 pbc="T T T"
Si 0.0000 0.0000 0.0000
Si 1.7726 1.7726 0.5937
Br 1.7726 1.7726 2.8367
Cl 0.0000 0.0000 6.2714
```

Values from the calculation:
* V: 26.2 Å³ per atom
* density of states at the Fermi level: 0.377 states/eV per atom
* E_form (uncorrected): -34.68 kJ/mol of atoms
* calculated density: 2.71 g/cm³



## TmSc3Zn2 (GGA-PBE)

Data for crystalline TmSc3Zn2 at its relaxed geometry.

The structure in extended XYZ format:
```
12
Lattice="4.7195 0.0000 0.0000 0.0000 8.5498 0.0000 0.0000 0.0000 6.4508" Properties=species:S:1:pos:R:3 pbc="T T T"
Tm 0.0000 0.4464 0.0000
Tm 0.0000 8.1034 3.2254
Sc 0.0000 2.8170 4.2099
Sc 0.0000 5.7328 0.9845
Sc 2.3598 1.5883 2.0179
Sc 2.3598 3.8241 6.1993
Sc 2.3598 4.7257 2.9739
Sc 2.3598 6.9615 5.2433
Zn 0.0000 3.0302 1.3958
Zn 0.0000 5.5196 4.6212
Zn 2.3598 1.2801 4.8130
Zn 2.3598 7.2698 1.5876
```

Values from the calculation:
* V: 21.7 Å³ per atom
* density of states at the Fermi level: 0.629 states/eV per atom
* energy relative to the elements: -248 meV per atom
* calculated density: 5.55 g/cm³



## Tb3Pm6Sm (GGA-PBE)

Data for crystalline Tb3Pm6Sm at its relaxed geometry.

The structure in extended XYZ format:
```
20
Lattice="4.9017 -10.7008 0.0000 4.9017 10.7008 0.0000 0.0000 0.0000 6.4708" Properties=species:S:1:pos:R:3 pbc="T T T"
Tb 4.9017 8.9799 3.2354
Tb 3.2563 2.7195 0.6952
Tb 3.2563 -2.7195 3.9306
Tb 6.5471 2.7195 0.6952
Tb 6.5471 -2.7195 3.9306
Tb 4.9017 -8.9799 0.0000
Pm 3.1922 6.0256 1.7300
Pm 1.7596 1.2816 3.3658
Pm 4.9017 6.4338 5.1343
Pm 1.7596 -1.2816 0.1304
Pm 6.6111 6.0256 1.7300
Pm 4.9017 0.3134 5.0973
Pm 4.9017 -0.3134 1.8619
Pm 3.1922 -6.0256 4.9654
Pm 8.0438 1.2816 3.3658
Pm 4.9017 -6.4338 1.8990
Pm 8.0438 -1.2816 0.1304
Pm 6.6111 -6.0256 4.9654
Sm 4.9017 3.3719 3.7694
Sm 4.9017 -3.3719 0.5340
```

Values from the calculation:
* V: 33.9 Å³ per atom
* density of states at the Fermi level: 1.579 states/eV per atom
* energy relative to the elements: 124 meV per atom
* calculated density: 7.32 g/cm³



## VInSi (GGA-PBE)

Data for crystalline VInSi at its relaxed geometry.

The structure in extended XYZ format:
```
6
Lattice="3.3321 0.0000 0.0000 -0.0023 3.4377 0.0000 -0.0705 -1.6860 9.5363" Properties=species:S:1:pos:R:3 pbc="T T T"
V 0.0000 0.0000 0.0000
V -0.0057 1.7110 2.5047
In 0.1384 0.1847 4.8691
In 1.6804 -0.7195 7.2995
Si 1.6639 1.7226 0.5012
Si 1.6626 -0.0026 2.1889
```

Values from the calculation:
* V: 18.2 Å³ per atom
* density of states at the Fermi level: 0.708 states/eV per atom
* E_form (uncorrected): -7.67 kJ/mol of atoms
* calculated density: 5.89 g/cm³



## PrEr3Pd2 (GGA-PBE)

Data for crystalline PrEr3Pd2 at its relaxed geometry.

The structure in extended XYZ format:
```
6
Lattice="3.5391 0.0000 0.0000 0.0000 3.5391 0.0000 0.0000 0.0000 12.0386" Properties=species:S:1:pos:R:3 pbc="T T T"
Pr 0.0000 0.0000 0.0000
Er 1.7696 1.7696 2.6655
Er 1.7696 1.7696 6.0193
Er 1.7696 1.7696 9.3731
Pd 0.0000 0.0000 4.3076
Pd 0.0000 0.0000 7.7310
```

Values from the calculation:
* V: 25.1 Å³ per atom
* density of states at the Fermi level: 0.918 states/eV per atom
* energy relative to the elements: -595 meV per atom
* calculated density: 9.42 g/cm³



## MnAl8Rh2 (GGA-PBE)

Data for crystalline MnAl8Rh2 at its relaxed geometry.

The structure in extended XYZ format:
```
11
Lattice="-1.9869 3.7020 5.5947 1.9869 -3.7020 5.5947 1.9869 3.7020 -5.5947" Properties=species:S:1:pos:R:3 pbc="T T T"
Mn 0.0000 0.0000 0.0000
Al 1.9869 -1.6672 3.8269
Al 1.9869 0.0000 1.6370
Al 1.9869 2.2929 0.0000
Al 0.0000 2.0348 1.7679
Al 1.9869 1.6672 3.8269
Al 0.0000 1.4091 5.5947
Al 0.0000 3.7020 3.9577
Al 0.0000 5.3692 1.7679
Rh 0.0000 0.0000 3.3906
Rh 0.0000 0.0000 7.7989
```

Values from the calculation:
* V: 15.0 Å³ per atom
* density of states at the Fermi level: 0.244 states/eV per atom
* energy relative to the elements: -530 meV per atom
* calculated density: 4.81 g/cm³



## PrScGaCu (GGA-PBE)

Data for crystalline PrScGaCu at its relaxed geometry.

The structure in extended XYZ format:
```
4
Lattice="0.0000 3.5198 3.5198 3.5198 0.0000 3.5198 3.5198 3.5198 0.0000" Properties=species:S:1:pos:R:3 pbc="T T T"
Pr 0.0000 0.0000 0.0000
Sc 3.5198 3.5198 3.5198
Ga 5.2797 5.2797 5.2797
Cu 1.7599 1.7599 1.7599
```

Values from the calculation:
* V: 21.8 Å³ per atom
* density of states at the Fermi level: 0.933 states/eV per atom
* energy relative to the elements: -344 meV per atom
* calculated density: 6.08 g/cm³



## CaCd2AgCl (GGA-PBE)

Data for crystalline CaCd2AgCl at its relaxed geometry.

The structure in extended XYZ format:
```
5
Lattice="5.6992 0.0000 0.0000 0.0000 5.6992 0.0000 0.0000 0.0000 5.0651" Properties=species:S:1:pos:R:3 pbc="T T T"
Ca 0.0000 0.0000 0.0000
Cd 0.0000 2.8496 2.5326
Cd 2.8496 0.0000 2.5326
Ag 2.8496 2.8496 0.0000
Cl 0.0000 0.0000 2.5326
```

Values from the calculation:
* V: 32.9 Å³ per atom
* density of states at the Fermi level: 0.345 states/eV per atom
* E_form (uncorrected): -5.23 kJ/mol of atoms
* calculated density: 4.12 g/cm³



## Ca2RuW (GGA-PBE)

Data for crystalline Ca2RuW at its relaxed geometry.

The structure in extended XYZ format:
```
4
Lattice="-1.9798 1.9798 5.0309 1.9798 -1.9798 5.0309 1.9798 1.9798 -5.0309" Properties=species:S:1:pos:R:3 pbc="T T T"
Ca 1.9798 0.0000 2.5155
Ca 0.0000 1.9798 2.5155
Ru 0.0000 0.0000 0.0000
W 0.0000 0.0000 5.0309
```

Values from the calculation:
* V: 19.7 Å³ per atom
* density of states at the Fermi level: 0.953 states/eV per atom
* energy relative to the elements: 789 meV per atom
* calculated density: 7.69 g/cm³



## Ti2PtBrF (GGA-PBE)

Data for crystalline Ti2PtBrF at its relaxed geometry.

The structure in extended XYZ format:
```
5
Lattice="4.9627 0.0000 0.0000 0.0000 4.9627 0.0000 0.0000 0.0000 4.4631" Properties=species:S:1:pos:R:3 pbc="T T T"
Ti 0.0000 2.4814 0.0000
Ti 2.4814 0.0000 0.0000
Pt 0.0000 0.0000 0.0000
Br 2.4814 2.4814 2.2315
F 0.0000 0.0000 2.2315
```

Values from the calculation:
* V: 22.0 Å³ per atom
* density of states at the Fermi level: 1.509 states/eV per atom
* E_form (uncorrected): -2.49 kJ/mol of atoms
* calculated density: 5.89 g/cm³



## NdEr3Rh4 (GGA-PBE)

Data for crystalline NdEr3Rh4 at its relaxed geometry.

The structure in extended XYZ format:
```
8
Lattice="2.4234 1.3992 7.9583 -2.4234 1.3992 7.9583 0.0000 -2.7983 7.9583" Properties=species:S:1:pos:R:3 pbc="T T T"
Nd 0.0000 0.0000 0.0000
Er 0.0000 0.0000 5.9254
Er 0.0000 0.0000 11.9374
Er 0.0000 0.0000 17.9495
Rh 0.0000 0.0000 3.0320
Rh 0.0000 0.0000 9.0164
Rh 0.0000 0.0000 14.8585
Rh 0.0000 0.0000 20.8429
```

Values from the calculation:
* V: 20.2 Å³ per atom
* density of states at the Fermi level: 0.455 states/eV per atom
* energy relative to the elements: -854 meV per atom
* calculated density: 10.85 g/cm³



## GeTeW (GGA-PBE)

Data for crystalline GeTeW at its relaxed geometry.

The structure in extended XYZ format:
```
6
Lattice="5.7270 -1.6906 0.0000 5.7270 1.6906 0.0000 -5.6967 0.0000 6.4118" Properties=species:S:1:pos:R:3 pbc="T T T"
Ge 0.1487 0.0000 1.2940
Ge 5.6086 0.0000 5.1178
Te 3.1511 0.0000 1.5609
Te 2.6062 0.0000 4.8509
W -1.3069 0.0000 3.4409
W 7.0641 0.0000 2.9709
```

Values from the calculation:
* V: 20.7 Å³ per atom
* density of states at the Fermi level: 0.642 states/eV per atom
* E_form (uncorrected): 26.71 kJ/mol of atoms
* calculated density: 10.27 g/cm³



## AlSiPb2 (GGA-PBE)

Data for crystalline AlSiPb2 at its relaxed geometry.

The structure in extended XYZ format:
```
4
Lattice="-2.4448 2.4448 4.1391 2.4448 -2.4448 4.1391 2.4448 2.4448 -4.1391" Properties=species:S:1:pos:R:3 pbc="T T T"
Al 0.0000 0.0000 0.0000
Si 0.0000 0.0000 4.1391
Pb 2.4448 0.0000 2.0695
Pb 0.0000 2.4448 2.0695
```

Values from the calculation:
* V: 24.7 Å³ per atom
* density of states at the Fermi level: 0.554 states/eV per atom
* E_form (uncorrected): 40.43 kJ/mol of atoms
* calculated density: 7.88 g/cm³